Here is CoHIr2Pd after structural relaxation from Alexandria via LeMat-Bulk. Energies are from PBE.

Summary:
ρ (g cm⁻³): 15.66
Space-group type: P4/mmm (123)
Raw total energy (eV per atom): -6.4754
Crystal system: tetragonal

a b c (Å): 3.8902 3.8902 3.8588
angles (deg): 90.00 90.00 90.00
Fractional coordinates of all 5 atoms:
H  0.0000  0.0000  0.0000
Ir  0.0000  0.5000  0.0000
Ir  0.5000  0.0000  0.0000
Co  0.0000  0.0000  0.5000
Pd  0.5000  0.5000  0.5000